Sc2HgTeIr | PBE | optimized geometry

The structure in extended XYZ format:
```
5
Lattice="5.200 0.000 0.000 0.000 5.200 0.000 0.000 0.000 4.994" Properties=species:S:1:pos:R:3 pbc="T T T"
Sc 0.000 2.600 0.000
Sc 2.600 0.000 0.000
Hg 0.000 0.000 0.000
Te 2.600 2.600 2.497
Ir 0.000 0.000 2.497
```

DOS at the Fermi energy in states/eV/f.u.: 5.76
Spin magnetization in μB per formula unit: 0.0
Raw formation energy in eV/atom: 0.543
E_tot in eV/atom: -4.450